No. 1
# PrSbIr

A geometry-optimized PrSbIr structure (PBEsol, Alexandria via LeMat-Bulk).

Lattice parameters (Å, degrees): 4.5655 7.3586 7.9224 90.00 90.00 90.00
With the nearest neighbours (Å) after each atom.
Atoms (fractional coordinates):
Pr 0.2500 0.5140 0.1912  5 Ir 3.06-3.34, 6 Sb 3.21-3.35
Pr 0.7500 0.4860 0.8088  5 Ir 3.06-3.34, 6 Sb 3.21-3.35
Sb 0.2500 0.1757 0.9138  4 Ir 2.68-2.77
Ir 0.7500 0.7013 0.4093  4 Sb 2.68-2.77
Ir 0.7500 0.2013 0.0907  4 Sb 2.68-2.77
Pr 0.2500 0.0140 0.3088  5 Ir 3.06-3.34, 6 Sb 3.21-3.35
Sb 0.7500 0.3243 0.4138  4 Ir 2.68-2.77
Pr 0.7500 0.9860 0.6912  5 Ir 3.06-3.34, 6 Sb 3.21-3.35
Ir 0.2500 0.7987 0.9093  4 Sb 2.68-2.77
Ir 0.2500 0.2987 0.5907  4 Sb 2.68-2.77
Sb 0.7500 0.8243 0.0862  4 Ir 2.68-2.77
Sb 0.2500 0.6757 0.5861  4 Ir 2.68-2.77

Computed properties:
N(E_F) (states/eV/f.u.): 1.73
Formation energy from raw total energies (eV/atom): -0.855



No. 2
# YCoH3

A geometry-optimized YCoH3 structure (PBEsol, Alexandria via LeMat-Bulk).

Lattice parameters (Å, degrees): 3.4562 3.4562 3.4562 90.00 90.00 90.00
With the nearest neighbours (Å) after each atom.
Atoms (fractional coordinates):
Y 0.5000 0.5000 0.5000  12 H 2.44
H 0.0000 0.5000 0.0000  2 Co 1.73
Co 0.0000 0.0000 0.0000  6 H 1.73
H 0.0000 0.0000 0.5000  2 Co 1.73
H 0.5000 0.0000 0.0000  2 Co 1.73

Computed properties:
Electronic total energy (eV per atom): -5.421
N(E_F) (states/eV/f.u.): 2.73



No. 3
# BaHfScCr2

A geometry-optimized BaHfScCr2 structure (PBEsol, Alexandria via LeMat-Bulk).

Lattice parameters (Å, degrees): 4.8755 4.8755 5.2558 90.00 90.00 90.00
With the nearest neighbours (Å) after each atom.
Atoms (fractional coordinates):
Cr 0.0000 0.5000 0.0000  2 Ba 2.44
Sc 0.5000 0.5000 0.5000  4 Hf 3.45, 8 Cr 3.58
Hf 0.0000 0.0000 0.5000  2 Ba 2.63
Ba 0.0000 0.0000 0.0000  4 Cr 2.44, 2 Hf 2.63
Cr 0.5000 0.0000 0.0000  2 Ba 2.44

Computed properties:
Formation enthalpy at 0 K (meV per atom): 2054
N(E_F) (states/eV/f.u.): 4.66



No. 4
# Zn2CdAu

A geometry-optimized Zn2CdAu structure (PBEsol, Alexandria via LeMat-Bulk).

Lattice parameters (Å, degrees): 4.0390 3.9814 4.8899 111.35 114.44 93.06
With the nearest neighbours (Å) after each atom.
Atoms (fractional coordinates):
Zn 0.9994 0.9992 0.9975  4 Au 2.74-2.92, 4 Zn 2.79-2.90, 4 Cd 2.80-2.89
Zn 0.7516 0.2509 0.5001  4 Cd 2.75-2.91, 4 Au 2.78-2.92, 4 Zn 2.79-2.90
Au 0.4969 0.4982 0.0026  8 Zn 2.74-2.92, 4 Cd 2.82-2.87
Cd 0.2521 0.7517 0.4999  8 Zn 2.75-2.91, 4 Au 2.82-2.87

Computed properties:
Formation enthalpy at 0 K (meV per atom): -86
Energy relative to the lowest polymorph listed for this composition (meV per atom): 0.0
N(E_F) (states/eV/f.u.): 0.94



No. 5
# Mg3AsRu

A geometry-optimized Mg3AsRu structure (PBEsol, Alexandria via LeMat-Bulk).

Lattice parameters (Å, degrees): 4.8362 4.8362 4.8362 90.00 90.00 90.00
With the nearest neighbours (Å) after each atom.
Atoms (fractional coordinates):
As 0.0000 0.0000 0.0000  6 Mg 2.42
Mg 0.0000 0.5000 0.0000  2 As 2.42
Ru 0.5000 0.5000 0.5000  12 Mg 3.42
Mg 0.0000 0.0000 0.5000  2 As 2.42
Mg 0.5000 0.0000 0.0000  2 As 2.42

Computed properties:
Formation enthalpy at 0 K (meV per atom): 735
N(E_F) (states/eV/f.u.): 6.73



No. 6
# HfIn2Cu

A geometry-optimized HfIn2Cu structure (PBEsol, Alexandria via LeMat-Bulk).

Lattice parameters (Å, degrees): 4.7712 4.7712 4.7712 60.00 60.00 60.00
With the nearest neighbours (Å) after each atom.
Atoms (fractional coordinates):
In 0.7500 0.7500 0.7500  4 Cu 2.92, 4 Hf 2.92
Hf 0.5000 0.5000 0.5000  8 In 2.92
In 0.2500 0.2500 0.2500  4 Hf 2.92, 4 Cu 2.92
Cu 0.0000 0.0000 0.0000  8 In 2.92

Computed properties:
Formation enthalpy at 0 K (meV per atom): 170
N(E_F) (states/eV/f.u.): 2.96



What is the N(E_F) in the first record? 1.73 states/eV/f.u.



The lowest N(E_F) belongs to which entry? Zn2CdAu